The following is a DFT calculation (PBE) of an optimized crystal structure of GaRhBr2.

Unit cell a=9.2775 b=9.2775 c=9.2775 alpha=23.15 beta=23.15 gamma=23.15
Fractional coordinates of all 4 atoms:
1 Ga 0.0000 0.0000 0.0000
2 Br 0.1120 0.1120 0.1120
3 Br 0.8880 0.8880 0.8880
4 Rh 0.5000 0.5000 0.5000

Properties
Density of states at the Fermi level in states/eV/cell: 4.41
Crystal system: trigonal
Energy above the most stable polymorph in this dataset in meV per atom: 330

The following is a DFT calculation (PBE) of an optimized crystal structure of GaRh3Br.

Unit cell a=4.6551 b=4.6551 c=4.6551 alpha=90.00 beta=90.00 gamma=90.00
Fractional coordinates of all 5 atoms:
1 Br 0.5000 0.5000 0.5000
2 Rh 0.0000 0.0000 0.5000
3 Rh 0.0000 0.5000 0.0000
4 Ga 0.0000 0.0000 0.0000
5 Rh 0.5000 0.0000 0.0000

Properties
Density of states at the Fermi level in states/eV/cell: 7.35
Crystal system: cubic
Energy above the most stable polymorph in this dataset in meV per atom: 0

The following is a DFT calculation (PBE) of an optimized crystal structure of Ga2RhSBr.

Unit cell a=5.3852 b=4.7324 c=5.3852 alpha=90.00 beta=90.00 gamma=90.00
Fractional coordinates of all 5 atoms:
1 Ga 0.5000 0.0000 0.0000
2 Rh 0.5000 0.5000 0.5000
3 Br 0.0000 0.0000 0.0000
4 Ga 0.0000 0.0000 0.5000
5 S 0.0000 0.5000 0.0000

Properties
Density of states at the Fermi level in states/eV/cell: 6.14
Crystal system: tetragonal
Total DFT energy (no corrections) in Ry/atom: -0.2039

The following is a DFT calculation (PBE) of an optimized crystal structure of Sc2GaRhBr.

Unit cell a=5.1980 b=4.5242 c=5.1980 alpha=90.00 beta=90.00 gamma=90.00
Fractional coordinates of all 5 atoms:
1 Sc 0.0000 0.0000 0.5000
2 Sc 0.5000 0.0000 0.0000
3 Br 0.5000 0.5000 0.5000
4 Rh 0.0000 0.5000 0.0000
5 Ga 0.0000 0.0000 0.0000

Properties
Density of states at the Fermi level in states/eV/cell: 4.76
Crystal system: tetragonal
Total DFT energy (no corrections) in Ry/atom: -0.3620

The following is a DFT calculation (PBE) of an optimized crystal structure of GaRhSeBr2.

Unit cell a=5.1236 b=5.1236 c=5.0216 alpha=90.00 beta=90.00 gamma=90.00
Fractional coordinates of all 5 atoms:
1 Ga 0.0000 0.0000 0.0000
2 Se 0.0000 0.0000 0.5000
3 Rh 0.5000 0.5000 0.5000
4 Br 0.0000 0.5000 0.0000
5 Br 0.5000 0.0000 0.0000

Properties
Density of states at the Fermi level in states/eV/cell: 7.53
Crystal system: tetragonal
Energy above the most stable polymorph in this dataset in meV per atom: 618

The following is a DFT calculation (PBE) of an optimized crystal structure of GaRhSe2Br.

Unit cell a=4.8846 b=4.8846 c=5.3349 alpha=90.00 beta=90.00 gamma=90.00
Fractional coordinates of all 5 atoms:
1 Ga 0.5000 0.5000 0.5000
2 Rh 0.0000 0.0000 0.0000
3 Br 0.0000 0.0000 0.5000
4 Se 0.0000 0.5000 0.0000
5 Se 0.5000 0.0000 0.0000

Properties
Density of states at the Fermi level in states/eV/cell: 5.35
Crystal system: tetragonal
Energy above the most stable polymorph in this dataset in meV per atom: 0

The following is a DFT calculation (PBE) of an optimized crystal structure of GaRhSeBr2.

Unit cell a=5.3313 b=5.3313 c=4.7006 alpha=90.00 beta=90.00 gamma=90.00
Fractional coordinates of all 5 atoms:
1 Br 0.5000 0.0000 0.0000
2 Rh 0.0000 0.0000 0.0000
3 Se 0.0000 0.0000 0.5000
4 Ga 0.5000 0.5000 0.5000
5 Br 0.0000 0.5000 0.0000

Properties
Density of states at the Fermi level in states/eV/cell: 3.69
Crystal system: tetragonal
Energy above the most stable polymorph in this dataset in meV per atom: 0

The following is a DFT calculation (PBE) of an optimized crystal structure of GaRhSe2Br.

Unit cell a=4.9381 b=4.9381 c=5.1026 alpha=90.00 beta=90.00 gamma=90.00
Fractional coordinates of all 5 atoms:
1 Rh 0.5000 0.5000 0.5000
2 Se 0.5000 0.0000 0.0000
3 Ga 0.0000 0.0000 0.0000
4 Se 0.0000 0.5000 0.0000
5 Br 0.0000 0.0000 0.5000

Properties
Density of states at the Fermi level in states/eV/cell: 5.80
Crystal system: tetragonal
Energy above the most stable polymorph in this dataset in meV per atom: 580

The following is a DFT calculation (PBE) of an optimized crystal structure of Sm8GaRh3Br4.

Unit cell a=8.2887 b=9.0206 c=8.2836 alpha=117.34 beta=120.02 gamma=90.00
Fractional coordinates of all 16 atoms:
1 Rh 0.0000 0.5000 0.5000
2 Sm 0.2394 0.6978 0.4787
3 Sm 0.2662 0.2993 0.5324
4 Br 0.5000 0.0000 0.0000
5 Rh 0.5000 0.5000 0.0000
6 Br 0.0000 0.0000 0.0000
7 Ga 0.0000 0.5000 0.0000
8 Sm 0.2808 0.3023 0.0413
9 Sm 0.7606 0.3022 0.5213
10 Br 0.0000 0.0000 0.5000
11 Sm 0.7338 0.7007 0.4676
12 Rh 0.5000 0.5000 0.5000
13 Br 0.5000 0.0000 0.5000
14 Sm 0.7192 0.6977 0.9587
15 Sm 0.7606 0.3023 0.0413
16 Sm 0.2394 0.6977 0.9587

Properties
Density of states at the Fermi level in states/eV/cell: 12.09
Crystal system: monoclinic
Total DFT energy (no corrections) in Ry/atom: -0.3923

The following is a DFT calculation (PBE) of an optimized crystal structure of Sm6GaRh2Br3.

Unit cell a=7.1967 b=7.1967 c=8.0035 alpha=98.62 beta=98.62 gamma=120.07
Fractional coordinates of all 12 atoms:
1 Ga 0.0000 0.0000 0.0000
2 Sm 0.5838 0.9337 0.7990
3 Sm 0.7170 0.7170 0.2008
4 Sm 0.4162 0.0663 0.2010
5 Sm 0.9337 0.5838 0.7990
6 Rh 0.3332 0.6668 0.0000
7 Br 0.1637 0.8363 0.5000
8 Sm 0.2830 0.2830 0.7992
9 Br 0.5000 0.5000 0.5000
10 Rh 0.6668 0.3332 0.0000
11 Br 0.8363 0.1637 0.5000
12 Sm 0.0663 0.4162 0.2010

Properties
Density of states at the Fermi level in states/eV/cell: 7.79
Crystal system: monoclinic
Total DFT energy (no corrections) in Ry/atom: -0.3846

The following is a DFT calculation (PBE) of an optimized crystal structure of Sr2GaRhBr.

Unit cell a=5.8495 b=5.8495 c=4.7366 alpha=90.00 beta=90.00 gamma=90.00
Fractional coordinates of all 5 atoms:
1 Sr 0.0000 0.5000 0.0000
2 Ga 0.0000 0.0000 0.5000
3 Br 0.5000 0.5000 0.5000
4 Rh 0.0000 0.0000 0.0000
5 Sr 0.5000 0.0000 0.0000

Properties
Density of states at the Fermi level in states/eV/cell: 3.10
Crystal system: tetragonal
Total DFT energy (no corrections) in Ry/atom: -0.2836

The following is a DFT calculation (PBE) of an optimized crystal structure of VGaRh2Br.

Unit cell a=4.6004 b=4.7525 c=4.6004 alpha=90.00 beta=90.00 gamma=90.00
Fractional coordinates of all 5 atoms:
1 Br 0.5000 0.5000 0.5000
2 Rh 0.0000 0.0000 0.5000
3 Rh 0.5000 0.0000 0.0000
4 Ga 0.0000 0.0000 0.0000
5 V 0.0000 0.5000 0.0000

Properties
Density of states at the Fermi level in states/eV/cell: 10.21
Crystal system: tetragonal
Total DFT energy (no corrections) in Ry/atom: -0.3436

The following is a DFT calculation (PBE) of an optimized crystal structure of GaRuBr2.

Unit cell a=4.9637 b=4.9637 c=4.9637 alpha=60.00 beta=60.00 gamma=60.00
Fractional coordinates of all 4 atoms:
1 Ru 0.5000 0.5000 0.5000
2 Br 0.2500 0.2500 0.2500
3 Ga 0.0000 0.0000 0.0000
4 Br 0.7500 0.7500 0.7500

Properties
Density of states at the Fermi level in states/eV/cell: 0.00
Crystal system: cubic
Energy above the most stable polymorph in this dataset in meV per atom: 57

The following is a DFT calculation (PBE) of an optimized crystal structure of GaRu3Br.

Unit cell a=4.5472 b=4.5472 c=4.5472 alpha=90.00 beta=90.00 gamma=90.00
Fractional coordinates of all 5 atoms:
1 Ru 0.0000 0.5000 0.0000
2 Ru 0.0000 0.0000 0.5000
3 Ru 0.5000 0.0000 0.0000
4 Ga 0.5000 0.5000 0.5000
5 Br 0.0000 0.0000 0.0000

Properties
Density of states at the Fermi level in states/eV/cell: 6.25
Crystal system: cubic
Energy above the most stable polymorph in this dataset in meV per atom: 0

The following is a DFT calculation (PBE) of an optimized crystal structure of GaRu2Br.

Unit cell a=4.4536 b=4.4536 c=4.4536 alpha=60.00 beta=60.00 gamma=60.00
Fractional coordinates of all 4 atoms:
1 Ru 0.2500 0.2500 0.2500
2 Ru 0.7500 0.7500 0.7500
3 Br 0.5000 0.5000 0.5000
4 Ga 0.0000 0.0000 0.0000

Properties
Density of states at the Fermi level in states/eV/cell: 4.48
Crystal system: cubic
Energy above the most stable polymorph in this dataset in meV per atom: 0

The following is a DFT calculation (PBE) of an optimized crystal structure of GaRuBr2.

Unit cell a=6.4740 b=6.4740 c=7.4687 alpha=64.32 beta=64.32 gamma=90.00
Fractional coordinates of all 8 atoms:
1 Ga 0.2500 0.7500 0.5000
2 Ru 0.0000 0.0000 0.0000
3 Br 0.7023 0.1250 0.2500
4 Ru 0.7500 0.2500 0.5000
5 Br 0.0477 0.6250 0.2500
6 Br 0.3750 0.2977 0.7500
7 Br 0.8750 0.9523 0.7500
8 Ga 0.5000 0.5000 0.0000

Properties
Density of states at the Fermi level in states/eV/cell: 8.08
Crystal system: tetragonal
Energy above the most stable polymorph in this dataset in meV per atom: 0

The following is a DFT calculation (PBE) of an optimized crystal structure of GaRuBr2.

Unit cell a=10.1315 b=10.1315 c=10.1315 alpha=18.15 beta=18.15 gamma=18.15
Fractional coordinates of all 4 atoms:
1 Br 0.9209 0.9209 0.9209
2 Br 0.0791 0.0791 0.0791
3 Ru 0.0000 0.0000 0.0000
4 Ga 0.5000 0.5000 0.5000

Properties
Density of states at the Fermi level in states/eV/cell: 4.17
Crystal system: trigonal
Energy above the most stable polymorph in this dataset in meV per atom: 23

The following is a DFT calculation (PBE) of an optimized crystal structure of GaRu2Br.

Unit cell a=5.6547 b=5.6547 c=6.7049 alpha=65.06 beta=65.06 gamma=90.00
Fractional coordinates of all 8 atoms:
1 Br 0.7500 0.2500 0.5000
2 Br 0.0000 0.0000 0.0000
3 Ru 0.8750 0.8805 0.7500
4 Ru 0.6305 0.1250 0.2500
5 Ga 0.2500 0.7500 0.5000
6 Ga 0.5000 0.5000 0.0000
7 Ru 0.1195 0.6250 0.2500
8 Ru 0.3750 0.3695 0.7500

Properties
Density of states at the Fermi level in states/eV/cell: 4.28
Crystal system: tetragonal
Energy above the most stable polymorph in this dataset in meV per atom: 271

The following is a DFT calculation (PBE) of an optimized crystal structure of Ga2RuSBr.

Unit cell a=5.2299 b=4.6871 c=5.2299 alpha=90.00 beta=90.00 gamma=90.00
Fractional coordinates of all 5 atoms:
1 Ga 0.0000 0.0000 0.5000
2 Br 0.0000 0.0000 0.0000
3 S 0.0000 0.5000 0.0000
4 Ga 0.5000 0.0000 0.0000
5 Ru 0.5000 0.5000 0.5000

Properties
Density of states at the Fermi level in states/eV/cell: 3.60
Crystal system: tetragonal
Total DFT energy (no corrections) in Ry/atom: -0.2153

The following is a DFT calculation (PBE) of an optimized crystal structure of GaSb2RuBr.

Unit cell a=5.1662 b=4.9423 c=5.1662 alpha=90.00 beta=90.00 gamma=90.00
Fractional coordinates of all 5 atoms:
1 Ru 0.0000 0.0000 0.0000
2 Sb 0.5000 0.0000 0.0000
3 Sb 0.0000 0.0000 0.5000
4 Br 0.5000 0.5000 0.5000
5 Ga 0.0000 0.5000 0.0000

Properties
Density of states at the Fermi level in states/eV/cell: 3.96
Crystal system: tetragonal
Total DFT energy (no corrections) in Ry/atom: -0.3259